Compound: LaNdSm2Y2
Source: Alexandria via LeMat-Bulk
Functional: PBE-GGA
Structure: optimized geometry

Geometry as CIF:
```
data_LaNdSm2Y2
_cell_length_a 6.679
_cell_length_b 18.252
_cell_length_c 3.427
_cell_angle_alpha 90.00
_cell_angle_beta 90.00
_cell_angle_gamma 90.00
_symmetry_space_group_name_H-M 'P n n m'
_symmetry_Int_Tables_number 58
_symmetry_space_group_name_Hall '-P 2 2n'
loop_
_atom_site_label
_atom_site_type_symbol
_atom_site_fract_x
_atom_site_fract_y
_atom_site_fract_z
La1 La 0.000 0.000 0.000
Nd1 Nd 0.000 0.500 0.000
Sm1 Sm 0.221 0.185 0.000
Y1 Y 0.219 0.350 0.500
```

- Energy of formation from the pure elements: 0.271 eV per atom
- E: -5.073 eV/atom
- Density of states at the Fermi level: 22.81 states/eV per cell
- Magnetic moment: 0.000 μB/atom

---

Compound: LaZnHgBi
Source: Alexandria via LeMat-Bulk
Functional: PBE-GGA
Structure: optimized geometry

Geometry as CIF:
```
data_LaZnHgBi
_cell_length_a 7.557
_cell_length_b 7.557
_cell_length_c 7.557
_cell_angle_alpha 90.00
_cell_angle_beta 90.00
_cell_angle_gamma 90.00
_symmetry_space_group_name_H-M 'F -4 3 m'
_symmetry_Int_Tables_number 216
_symmetry_space_group_name_Hall 'F -4 2 3'
loop_
_atom_site_label
_atom_site_type_symbol
_atom_site_fract_x
_atom_site_fract_y
_atom_site_fract_z
La1 La 0.000 0.000 0.000
Zn1 Zn 0.250 0.250 0.750
Hg1 Hg 0.250 0.250 0.250
Bi1 Bi 0.000 0.000 0.500
```

- Energy of formation from the pure elements: -0.351 eV per atom
- E: -2.947 eV/atom
- Density of states at the Fermi level: 8.54 states/eV per cell
- Magnetic moment: 0.000 μB/atom